First-principles (meta-GGA SCAN) data for Ti2NbW at its PBEsol-relaxed geometry, as listed in the Alexandria database.

total DFT energy (no corrections) = -134.483 eV/f.u.
space-group type = Fm-3m (225)
energy of formation = 0.0985 eV per atom

Unit cell a=4.4985 b=4.4985 c=4.4985 alpha=60.00 beta=60.00 gamma=60.00
With the nearest neighbours (Å) after each atom.
Atoms (fractional coordinates):
Nb  0.0000  0.0000  0.0000  8 Ti 2.75
W  0.5000  0.5000  0.5000  8 Ti 2.75
Ti  0.2500  0.2500  0.2500  4 Nb 2.75, 4 W 2.75
Ti  0.7500  0.7500  0.7500  4 Nb 2.75, 4 W 2.75